# 1
A relaxed Pr8Dy3Mg2 crystal, computed with PBE-GGA.

DOS(E_F) = 19.2 states/eV per cell
DFT formation energy = 5.4 kJ/mol of atoms

Cell and atoms, written as CIF:
```
data_Pr8Dy3Mg2
_chemical_formula_sum 'Pr8 Dy3 Mg2'
_cell_length_a 8.1462
_cell_length_b 5.3110
_cell_length_c 10.5824
_cell_angle_alpha 90.00
_cell_angle_beta 104.69
_cell_angle_gamma 90.00
_space_group_name_H-M_alt 'P 1 2/m 1'
_space_group_IT_number 10
loop_
_space_group_symop_operation_xyz
'x,y,z'
'-x,-y,-z'
'-x,y,-z'
'x,-y,z'
loop_
_atom_site_label
_atom_site_type_symbol
_atom_site_fract_x
_atom_site_fract_y
_atom_site_fract_z
Pr1 Pr 0.0460 0.0000 0.3426
Pr2 Pr 0.1389 0.5000 0.8908
Pr3 Pr 0.3341 0.5000 0.2649
Pr4 Pr 0.3977 0.0000 0.8178
Dy1 Dy 0.2247 0.5000 0.5743
Dy2 Dy 0.5000 0.0000 0.5000
Mg1 Mg 0.1771 0.0000 0.0741
```

# 2
A relaxed PrDy14Mg crystal, computed with PBE-GGA.

DOS(E_F) = 34.8 states/eV per cell
DFT formation energy = 1.8 kJ/mol of atoms

Cell and atoms, written as CIF:
```
data_PrDy14Mg
_chemical_formula_sum 'Pr2 Dy28 Mg2'
_cell_length_a 10.0146
_cell_length_b 9.9807
_cell_length_c 9.9809
_cell_angle_alpha 90.00
_cell_angle_beta 90.00
_cell_angle_gamma 90.00
_space_group_name_H-M_alt 'A m m 2'
_space_group_IT_number 38
loop_
_space_group_symop_operation_xyz
'x,y,z'
'-x,-y,z'
'-x,y,z'
'x,-y,z'
'x,y+1/2,z+1/2'
'-x,-y+1/2,z+1/2'
'-x,y+1/2,z+1/2'
'x,-y+1/2,z+1/2'
loop_
_atom_site_label
_atom_site_type_symbol
_atom_site_fract_x
_atom_site_fract_y
_atom_site_fract_z
Pr1 Pr 0.0000 0.0000 0.0000
Dy1 Dy 0.0000 0.2500 0.2500
Dy2 Dy 0.2505 0.0000 0.2496
Dy3 Dy 0.2506 0.0000 0.7505
Dy4 Dy 0.2505 0.2497 0.0000
Dy5 Dy 0.5000 0.0000 0.0001
Dy6 Dy 0.5000 0.0000 0.5000
Dy7 Dy 0.5000 0.2500 0.2500
Mg1 Mg 0.0000 0.0000 0.5007
```

# 3
A relaxed Pr5DyMg crystal, computed with PBE-GGA.

DOS(E_F) = 34.8 states/eV per cell
DFT formation energy = 9.8 kJ/mol of atoms

Cell and atoms, written as CIF:
```
data_Pr5DyMg
_chemical_formula_sum 'Pr20 Dy4 Mg4'
_cell_length_a 8.8138
_cell_length_b 9.7335
_cell_length_c 12.0652
_cell_angle_alpha 90.00
_cell_angle_beta 111.13
_cell_angle_gamma 90.00
_space_group_name_H-M_alt 'C 1 2/c 1'
_space_group_IT_number 15
loop_
_space_group_symop_operation_xyz
'x,y,z'
'-x,-y,-z'
'-x,y,-z+1/2'
'x,-y,z+1/2'
'x+1/2,y+1/2,z'
'-x+1/2,-y+1/2,-z'
'-x+1/2,y+1/2,-z+1/2'
'x+1/2,-y+1/2,z+1/2'
loop_
_atom_site_label
_atom_site_type_symbol
_atom_site_fract_x
_atom_site_fract_y
_atom_site_fract_z
Pr1 Pr 0.0000 0.1368 0.2500
Pr2 Pr 0.1151 0.3425 0.5362
Pr3 Pr 0.2068 0.1877 0.8438
Dy1 Dy 0.0000 0.4935 0.2500
Mg1 Mg 0.0000 0.0000 0.0000
```

# 4
A relaxed Pr2DyMg5 crystal, computed with PBE-GGA.

DOS(E_F) = 16.8 states/eV per cell
DFT formation energy = -7.6 kJ/mol of atoms

Cell and atoms, written as CIF:
```
data_Pr2DyMg5
_chemical_formula_sum 'Pr4 Dy2 Mg10'
_cell_length_a 5.2636
_cell_length_b 5.2636
_cell_length_c 15.8276
_cell_angle_alpha 90.00
_cell_angle_beta 90.00
_cell_angle_gamma 90.00
_space_group_name_H-M_alt 'I 4/m m m'
_space_group_IT_number 139
_space_group_name_Hall '-I 4 2'
loop_
_atom_site_label
_atom_site_type_symbol
_atom_site_fract_x
_atom_site_fract_y
_atom_site_fract_z
Pr1 Pr 0.0000 0.0000 0.2407
Dy1 Dy 0.0000 0.0000 0.5000
Mg1 Mg 0.0000 0.0000 0.0000
Mg2 Mg 0.0000 0.5000 0.1138
```

# 5
A relaxed PrDy5Mg6 crystal, computed with PBE-GGA.

DOS(E_F) = 30.4 states/eV per cell
DFT formation energy = -8.2 kJ/mol of atoms

Cell and atoms, written as CIF:
```
data_PrDy5Mg6
_chemical_formula_sum 'Pr2 Dy10 Mg12'
_cell_length_a 5.3834
_cell_length_b 16.1667
_cell_length_c 7.6055
_cell_angle_alpha 90.00
_cell_angle_beta 90.00
_cell_angle_gamma 90.00
_space_group_name_H-M_alt 'C m m m'
_space_group_IT_number 65
_space_group_name_Hall '-C 2 2'
loop_
_atom_site_label
_atom_site_type_symbol
_atom_site_fract_x
_atom_site_fract_y
_atom_site_fract_z
Pr1 Pr 0.0000 0.0000 0.0000
Dy1 Dy 0.0000 0.0000 0.5000
Dy2 Dy 0.0000 0.3317 0.0000
Dy3 Dy 0.0000 0.3347 0.5000
Mg1 Mg 0.0000 0.1685 0.2530
Mg2 Mg 0.0000 0.5000 0.2533
```

# 6
A relaxed Pr2Dy7Mg2 crystal, computed with PBE-GGA.

DOS(E_F) = 26.1 states/eV per cell
DFT formation energy = 15.7 kJ/mol of atoms

Cell and atoms, written as CIF:
```
data_Pr2Dy7Mg2
_chemical_formula_sum 'Pr4 Dy14 Mg4'
_cell_length_a 11.6283
_cell_length_b 11.3275
_cell_length_c 5.7279
_cell_angle_alpha 90.00
_cell_angle_beta 111.56
_cell_angle_gamma 90.00
_space_group_name_H-M_alt 'C 1 2/m 1'
_space_group_IT_number 12
loop_
_space_group_symop_operation_xyz
'x,y,z'
'-x,-y,-z'
'-x,y,-z'
'x,-y,z'
'x+1/2,y+1/2,z'
'-x+1/2,-y+1/2,-z'
'-x+1/2,y+1/2,-z'
'x+1/2,-y+1/2,z'
loop_
_atom_site_label
_atom_site_type_symbol
_atom_site_fract_x
_atom_site_fract_y
_atom_site_fract_z
Pr1 Pr 0.0000 0.2231 0.0000
Dy1 Dy 0.0000 0.0000 0.5000
Dy2 Dy 0.1925 0.2065 0.6862
Dy3 Dy 0.2291 0.0000 0.1592
Mg1 Mg 0.0675 0.5000 0.2837
```

# 7
A relaxed PrDyMg4 crystal, computed with PBE-GGA.

DOS(E_F) = 14.5 states/eV per cell
DFT formation energy = -4.6 kJ/mol of atoms

Cell and atoms, written as CIF:
```
data_PrDyMg4
_chemical_formula_sum 'Pr2 Dy2 Mg8'
_cell_length_a 13.9367
_cell_length_b 3.4583
_cell_length_c 6.8656
_cell_angle_alpha 90.00
_cell_angle_beta 104.23
_cell_angle_gamma 90.00
_space_group_name_H-M_alt 'C 1 2/m 1'
_space_group_IT_number 12
loop_
_space_group_symop_operation_xyz
'x,y,z'
'-x,-y,-z'
'-x,y,-z'
'x,-y,z'
'x+1/2,y+1/2,z'
'-x+1/2,-y+1/2,-z'
'-x+1/2,y+1/2,-z'
'x+1/2,-y+1/2,z'
loop_
_atom_site_label
_atom_site_type_symbol
_atom_site_fract_x
_atom_site_fract_y
_atom_site_fract_z
Pr1 Pr 0.0000 0.0000 0.0000
Dy1 Dy 0.0000 0.0000 0.5000
Mg1 Mg 0.1751 0.5000 0.3431
Mg2 Mg 0.1783 0.5000 0.8336
```

# 8
A relaxed Pr8Dy3Mg crystal, computed with PBE-GGA.

DOS(E_F) = 36.3 states/eV per cell
DFT formation energy = 49.6 kJ/mol of atoms

Cell and atoms, written as CIF:
```
data_Pr8Dy3Mg
_chemical_formula_sum 'Pr16 Dy6 Mg2'
_cell_length_a 8.7528
_cell_length_b 8.7528
_cell_length_c 11.6548
_cell_angle_alpha 90.00
_cell_angle_beta 90.00
_cell_angle_gamma 90.00
_space_group_name_H-M_alt 'I -4 2 m'
_space_group_IT_number 121
_space_group_name_Hall 'I -4 2'
loop_
_atom_site_label
_atom_site_type_symbol
_atom_site_fract_x
_atom_site_fract_y
_atom_site_fract_z
Pr1 Pr 0.1274 0.1274 0.2487
Pr2 Pr 0.2492 0.2492 0.9915
Dy1 Dy 0.0000 0.0000 0.0000
Dy2 Dy 0.0000 0.5000 0.2500
Mg1 Mg 0.0000 0.0000 0.5000
```

# 9
A relaxed Pr8Dy2Mg crystal, computed with PBE-GGA.

DOS(E_F) = 31.2 states/eV per cell
DFT formation energy = 0.8 kJ/mol of atoms

Cell and atoms, written as CIF:
```
data_Pr8Dy2Mg
_chemical_formula_sum 'Pr16 Dy4 Mg2'
_cell_length_a 18.5322
_cell_length_b 5.1677
_cell_length_c 8.1539
_cell_angle_alpha 90.00
_cell_angle_beta 105.31
_cell_angle_gamma 90.00
_space_group_name_H-M_alt 'C 1 2/m 1'
_space_group_IT_number 12
loop_
_space_group_symop_operation_xyz
'x,y,z'
'-x,-y,-z'
'-x,y,-z'
'x,-y,z'
'x+1/2,y+1/2,z'
'-x+1/2,-y+1/2,-z'
'-x+1/2,y+1/2,-z'
'x+1/2,-y+1/2,z'
loop_
_atom_site_label
_atom_site_type_symbol
_atom_site_fract_x
_atom_site_fract_y
_atom_site_fract_z
Pr1 Pr 0.0458 0.0000 0.2245
Pr2 Pr 0.0915 0.5000 0.9491
Pr3 Pr 0.1375 0.0000 0.6833
Pr4 Pr 0.1809 0.5000 0.4099
Dy1 Dy 0.2256 0.0000 0.1342
Mg1 Mg 0.0000 0.5000 0.5000
```

# 10
A relaxed PrDy3Mg8 crystal, computed with PBE-GGA.

DOS(E_F) = 13.7 states/eV per cell
DFT formation energy = -7.2 kJ/mol of atoms

Cell and atoms, written as CIF:
```
data_PrDy3Mg8
_chemical_formula_sum 'Pr1 Dy3 Mg8'
_cell_length_a 6.0908
_cell_length_b 6.0908
_cell_length_c 9.8289
_cell_angle_alpha 90.00
_cell_angle_beta 90.00
_cell_angle_gamma 120.00
_space_group_name_H-M_alt 'P 3 m 1'
_space_group_IT_number 156
loop_
_space_group_symop_operation_xyz
'x,y,z'
'-y,x-y,z'
'-x+y,-x,z'
'-y,-x,z'
'-x+y,y,z'
'x,x-y,z'
loop_
_atom_site_label
_atom_site_type_symbol
_atom_site_fract_x
_atom_site_fract_y
_atom_site_fract_z
Pr1 Pr 0.0000 0.0000 0.0000
Dy1 Dy 0.0000 0.0000 0.3739
Dy2 Dy 0.6667 0.3333 0.4970
Dy3 Dy 0.6667 0.3333 0.8659
Mg1 Mg 0.1631 0.3263 0.6826
Mg2 Mg 0.3333 0.6667 0.4345
Mg3 Mg 0.3333 0.6667 0.9342
Mg4 Mg 0.5044 0.0088 0.1862
```

# 11
A relaxed PrDy2Mg4 crystal, computed with PBE-GGA.

DOS(E_F) = 11.9 states/eV per cell
DFT formation energy = 34.0 kJ/mol of atoms

Cell and atoms, written as CIF:
```
data_PrDy2Mg4
_chemical_formula_sum 'Pr2 Dy4 Mg8'
_cell_length_a 5.9994
_cell_length_b 12.9191
_cell_length_c 5.5599
_cell_angle_alpha 90.00
_cell_angle_beta 90.00
_cell_angle_gamma 90.00
_space_group_name_H-M_alt 'C m m m'
_space_group_IT_number 65
_space_group_name_Hall '-C 2 2'
loop_
_atom_site_label
_atom_site_type_symbol
_atom_site_fract_x
_atom_site_fract_y
_atom_site_fract_z
Pr1 Pr 0.0000 0.0000 0.0000
Dy1 Dy 0.0000 0.3666 0.5000
Mg1 Mg 0.0000 0.1208 0.5000
Mg2 Mg 0.0000 0.2516 0.0000
```

# 12
A relaxed Pr6Dy4Mg crystal, computed with PBE-GGA.

DOS(E_F) = 29.1 states/eV per cell
DFT formation energy = 25.3 kJ/mol of atoms

Cell and atoms, written as CIF:
```
data_Pr6Dy4Mg
_chemical_formula_sum 'Pr12 Dy8 Mg2'
_cell_length_a 6.6052
_cell_length_b 6.6052
_cell_length_c 17.3193
_cell_angle_alpha 90.00
_cell_angle_beta 90.00
_cell_angle_gamma 90.00
_space_group_name_H-M_alt 'I -4 2 m'
_space_group_IT_number 121
_space_group_name_Hall 'I -4 2'
loop_
_atom_site_label
_atom_site_type_symbol
_atom_site_fract_x
_atom_site_fract_y
_atom_site_fract_z
Pr1 Pr 0.0000 0.5000 0.0000
Pr2 Pr 0.1738 0.1738 0.3666
Dy1 Dy 0.1817 0.1817 0.1726
Mg1 Mg 0.0000 0.0000 0.0000
```